Computed, not measured: a relaxed structure of Co8Ru at the PBE level of DFT.

Properties
Energy relative to the elements, eV per atom: 0.09
Size of the total moment, μB per formula unit: 14.1
Crystal system: tetragonal
Density of states at the Fermi level, states/eV per cell: 12.30
Final energy, eV/cell: -65.30

Cell lengths 5.649, 5.649, 5.649 Å; angles 95.69, 95.69, 143.31 degrees
Element x y z (fractional)
Co 0.000 0.338 0.338
Co 0.000 0.662 0.662
Co 0.329 0.329 0.657
Co 0.329 0.671 0.000
Co 0.338 0.000 0.338
Co 0.662 0.000 0.662
Co 0.671 0.329 0.000
Co 0.671 0.671 0.343
Ru 0.000 0.000 0.000